Entry 1:
A relaxed CsRbZnGe crystal, computed with PBE.

a b c (Å): 7.6736 10.8247 4.5140
angles (deg): 90.00 122.34 90.00
Last column: nearest neighbours and their distance in Å.
Space group C2 (No. 5)
Asymmetric unit:
Cs1 0.0000 0.0000 0.0000 x2  4 Rb 3.78-4.15, 4 Ge 3.87-3.96, 3 Zn 3.97-4.10
Rb1 0.0000 0.3214 0.5000 x2  4 Cs 3.78-4.15, 4 Zn 3.83-4.06, 3 Ge 4.02-4.20
Zn1 0.0000 0.6335 0.0000 x2  2 Ge 2.40
Ge1 0.0000 0.7096 0.5000 x2  2 Zn 2.40

## Properties
- Mass density: 3.737 g/cm³
- Distance to the lowest polymorph of the same formula: 0.0070 eV/atom
- E_form: -52 meV/atom
- Crystal system: monoclinic


Entry 2:
A relaxed La4Si3Ni crystal, computed with PBE.

a b c (Å): 4.0563 4.4486 11.1619
angles (deg): 90.00 90.00 90.00
Last column: nearest neighbours and their distance in Å.
Space group Pmm2 (No. 25)
Asymmetric unit:
La1 0.0000 0.0000 0.0000 x1  6 Si 3.13-3.24, 1 Ni 3.39
La2 0.0000 0.5000 0.4917 x1  2 Ni 3.06, 5 Si 3.13-3.32
La3 0.5000 0.0000 0.7112 x1  7 Si 3.13-3.32
La4 0.5000 0.5000 0.2171 x1  3 Si 3.12-3.29, 4 Ni 3.16
Si1 0.0000 0.5000 0.7891 x1  2 Si 2.52
Si2 0.5000 0.0000 0.4136 x1  2 Ni 2.37
Si3 0.5000 0.5000 0.9228 x1  2 Si 2.52
Ni1 0.0000 0.0000 0.3040 x1  2 Si 2.37

## Properties
- Mass density: 5.759 g/cm³
- Electronic total energy: -5.8501 eV per atom
- Crystal system: orthorhombic


Entry 3:
A relaxed Cd2BS crystal, computed with PBE.

a b c (Å): 6.6174 6.6174 6.6174
angles (deg): 90.00 90.00 90.00
Last column: nearest neighbours and their distance in Å.
Space group Fm-3m (No. 225)
Asymmetric unit:
Cd1 0.2500 0.2500 0.2500 x8  4 S 2.87, 4 B 2.87
B1 0.0000 0.0000 0.0000 x4  8 Cd 2.87
S1 0.0000 0.0000 0.5000 x4  8 Cd 2.87

## Properties
- Mass density: 6.136 g/cm³
- Distance to the lowest polymorph of the same formula: 0.4141 eV/atom
- Crystal system: cubic


Entry 4:
A relaxed InAg4F7 crystal, computed with PBE.

a b c (Å): 4.2466 6.8344 8.2795
angles (deg): 105.65 99.57 106.82
Last column: nearest neighbours and their distance in Å.
Space group P-1 (No. 2)
Asymmetric unit:
In1 0.0000 0.0000 0.0000 x1  6 F 2.09-2.12
Ag1 0.2179 0.5343 0.7068 x2  4 F 2.32-2.51
Ag2 0.3601 0.1392 0.6332 x2  2 F 2.23-2.24
F1 0.0341 0.8971 0.2167 x2  1 In 2.09, 1 Ag 2.24
F2 0.1998 0.3268 0.1617 x2  1 In 2.10, 1 Ag 2.32
F3 0.2563 0.7370 0.5029 x2  3 Ag 2.23-2.45
F4 0.5000 0.0000 0.0000 x1  2 In 2.12

## Properties
- Mass density: 5.281 g/cm³
- Electronic total energy: -3.7417 eV per atom
- Crystal system: triclinic


Entry 5:
A relaxed YHo3S6 crystal, computed with PBE.

a b c (Å): 10.9926 3.9369 11.2652
angles (deg): 90.00 108.71 90.00
Last column: nearest neighbours and their distance in Å.
Space group P2_1/m (No. 11)
Asymmetric unit:
Y1 0.0443 0.2500 0.1906 x2  8 S 2.81-3.02
Ho1 0.1607 0.2500 0.5842 x2  6 S 2.65-2.77
Ho2 0.3179 0.7500 0.9970 x2  7 S 2.68-2.93
Ho3 0.4334 0.2500 0.3317 x2  6 S 2.66-2.77
S1 0.0822 0.7500 0.4024 x2  3 Ho 2.72-2.77, 2 Y 3.02
S2 0.1118 0.2500 0.9630 x2  3 Y 2.81-2.89, 2 Ho 2.93
S3 0.1917 0.7500 0.7494 x2  3 Ho 2.65-2.69, 1 Y 2.88
S4 0.2556 0.7500 0.2237 x2  3 Ho 2.77-2.85, 2 Y 2.98
S5 0.3979 0.2500 0.5631 x2  4 Ho 2.69-2.76
S6 0.4774 0.2500 0.1127 x2  4 Ho 2.66-2.89

## Properties
- Mass density: 5.582 g/cm³
- Distance to the lowest polymorph of the same formula: 0.0000 eV/atom
- Crystal system: monoclinic


Entry 6:
A relaxed Tb3Pr6NdEr2 crystal, computed with PBE.

a b c (Å): 6.3231 10.9528 11.9524
angles (deg): 90.00 100.13 90.00
Last column: nearest neighbours and their distance in Å.
Space group C2/m (No. 12)
Asymmetric unit:
Tb1 0.0000 0.0000 0.0000 x2  6 Pr 3.62, 6 Tb 3.65
Tb2 0.0000 0.3332 0.0000 x4  6 Pr 3.61-3.62, 6 Tb 3.65
Pr1 0.2491 0.1671 0.2497 x8  3 Tb 3.61-3.62, 2 Er 3.62, 1 Nd 3.63, 6 Pr 3.65-3.66
Pr2 0.2498 0.0000 0.7501 x4  3 Tb 3.62, 2 Er 3.62, 1 Nd 3.62, 6 Pr 3.65-3.66
Nd1 0.0000 0.5000 0.5000 x2  6 Pr 3.62-3.63, 6 Er 3.65
Er1 0.0000 0.1665 0.5000 x4  6 Pr 3.62, 3 Er 3.65, 3 Nd 3.65

## Properties
- Mass density: 7.340 g/cm³
- E_form: 12 meV/atom
- Crystal system: monoclinic


Entry 7:
A relaxed PmTmGaHg crystal, computed with PBE.

a b c (Å): 3.6302 3.6302 7.5055
angles (deg): 90.00 90.00 90.00
Last column: nearest neighbours and their distance in Å.
Space group P4mm (No. 99)
Asymmetric unit:
Pm1 0.0000 0.0000 0.0000 x1  4 Ga 3.17, 4 Hg 3.36, 1 Tm 3.54
Tm1 0.0000 0.0000 0.5281 x1  4 Ga 3.07, 4 Hg 3.14
Ga1 0.5000 0.5000 0.7525 x1  4 Tm 3.07, 4 Pm 3.17
Hg1 0.5000 0.5000 0.2879 x1  4 Tm 3.14, 4 Pm 3.36, 1 Ga 3.49

## Properties
- Mass density: 9.809 g/cm³
- Distance to the lowest polymorph of the same formula: 0.0000 eV/atom
- E_form: -527 meV/atom
- Crystal system: tetragonal


Entry 8:
A relaxed NaReF3 crystal, computed with PBE.

a b c (Å): 4.0937 4.0937 4.0937
angles (deg): 90.00 90.00 90.00
Last column: nearest neighbours and their distance in Å.
Space group Pm-3m (No. 221)
Asymmetric unit:
Na1 0.0000 0.0000 0.0000 x1  6 F 2.05
Re1 0.5000 0.5000 0.5000 x1  12 F 2.89
F1 0.0000 0.0000 0.5000 x3  2 Na 2.05

## Properties
- Mass density: 6.443 g/cm³
- Distance to the lowest polymorph of the same formula: 0.3993 eV/atom
- Crystal system: cubic


Entry 9:
A relaxed Zr3BePd crystal, computed with PBE.

a b c (Å): 4.6622 4.6622 4.6622
angles (deg): 90.00 90.00 90.00
Last column: nearest neighbours and their distance in Å.
Space group Pm-3m (No. 221)
Asymmetric unit:
Zr1 0.0000 0.0000 0.5000 x3  2 Be 2.33
Be1 0.0000 0.0000 0.0000 x1  6 Zr 2.33
Pd1 0.5000 0.5000 0.5000 x1  12 Zr 3.30

## Properties
- Mass density: 6.376 g/cm³
- Distance to the lowest polymorph of the same formula: 0.0000 eV/atom
- E_form: 248 meV/atom
- Crystal system: cubic


Entry 10:
A relaxed CrIr2 crystal, computed with PBE.

a b c (Å): 2.6994 2.6994 11.2242
angles (deg): 90.00 90.00 90.00
Last column: nearest neighbours and their distance in Å.
Space group I4/mmm (No. 139)
Asymmetric unit:
Cr1 0.0000 0.0000 0.0000 x2  8 Ir 2.60, 4 Cr 2.70
Ir1 0.0000 0.0000 0.3422 x4  4 Cr 2.60, 8 Ir 2.70-2.82

## Properties
- Mass density: 17.722 g/cm³
- E_form: -164 meV/atom
- Crystal system: tetragonal


Entry 11:
A relaxed TlCu6As4 crystal, computed with PBE.

a b c (Å): 4.2133 4.2133 21.4516
angles (deg): 90.00 90.00 90.00
Last column: nearest neighbours and their distance in Å.
Space group I4/mmm (No. 139)
Asymmetric unit:
Tl1 0.0000 0.0000 0.0000 x2  8 As 3.26, 8 Cu 3.35
Cu1 0.0000 0.5000 0.1216 x8  4 As 2.46-2.54, 1 Cu 2.75
Cu2 0.0000 0.5000 0.2500 x4  4 As 2.50, 2 Cu 2.75
As1 0.0000 0.0000 0.1873 x4  8 Cu 2.50-2.54
As2 0.0000 0.0000 0.4379 x4  4 Cu 2.46, 1 As 2.66

## Properties
- Mass density: 7.721 g/cm³
- E_form: 56 meV/atom
- Crystal system: tetragonal


Entry 12:
A relaxed Rb2TcHO4 crystal, computed with PBE.

a b c (Å): 4.7411 12.1575 19.9734
angles (deg): 90.00 90.00 90.00
Last column: nearest neighbours and their distance in Å.
Space group Fddd (No. 70, origin choice 2)
Asymmetric unit:
Rb1 0.1250 0.1250 0.2961 x16  8 O 2.96-3.28
Tc1 0.1250 0.1250 0.6250 x8  4 O 1.83
H1 0.1250 0.1250 0.1250 x8  4 O 1.71
O1 0.1052 0.2931 0.4179 x32  1 H 1.71, 1 Tc 1.83

## Properties
- Mass density: 3.853 g/cm³
- Electronic total energy: -5.5660 eV per atom
- Crystal system: orthorhombic


Entry 13:
A relaxed Ac5TlGa2 crystal, computed with PBE.

a b c (Å): 8.3856 8.3856 16.1826
angles (deg): 90.00 90.00 90.00
Last column: nearest neighbours and their distance in Å.
Space group I4/mcm (No. 140)
Asymmetric unit:
Ac1 0.0000 0.0000 0.0000 x4  4 Ga 3.37
Ac2 0.1713 0.3287 0.1446 x16  3 Ga 3.38-3.45, 2 Tl 3.55
Tl1 0.0000 0.0000 0.2500 x4  8 Ac 3.55
Ga1 0.1148 0.3852 0.5000 x8  1 Ga 2.72

## Properties
- Mass density: 8.632 g/cm³
- E_form: -363 meV/atom
- Crystal system: tetragonal


Entry 14:
A relaxed PmPr2ScSe4 crystal, computed with PBE.

a b c (Å): 7.1789 4.0959 7.3039
angles (deg): 90.00 108.72 90.00
Last column: nearest neighbours and their distance in Å.
Space group P2/m (No. 10)
Asymmetric unit:
Pm1 0.0000 0.0000 0.0000 x1  6 Se 2.92
Pr1 0.0000 0.5000 0.5000 x1  6 Se 3.08
Pr2 0.5000 0.0000 0.5000 x1  6 Se 2.97
Sc1 0.5000 0.5000 0.0000 x1  6 Se 2.81
Se1 0.2572 0.5000 0.2348 x2  1 Sc 2.81, 2 Pm 2.92, 3 Pr 2.97-3.08
Se2 0.2701 0.0000 0.7738 x2  2 Sc 2.81, 1 Pm 2.92, 3 Pr 2.97-3.08

## Properties
- Mass density: 6.430 g/cm³
- Electronic total energy: -6.0760 eV per atom
- Crystal system: monoclinic


Entry 15:
A relaxed CaTa2Mo crystal, computed with PBE.

a b c (Å): 6.8178 6.8438 4.6028
angles (deg): 90.00 132.25 90.00
Last column: nearest neighbours and their distance in Å.
Space group C2 (No. 5)
Asymmetric unit:
Ca1 0.0000 0.0000 0.0000 x2  4 Mo 2.94-3.00, 4 Ta 2.94-3.00
Ta1 0.0000 0.2802 0.5000 x2  4 Ta 2.79-3.12, 4 Ca 2.94-3.00, 1 Mo 3.01
Ta2 0.0000 0.5118 0.0000 x2  2 Mo 2.70, 2 Ta 2.79
Mo1 0.0000 0.7194 0.5000 x2  3 Ta 2.70-3.01, 4 Ca 2.94-3.00

## Properties
- Mass density: 10.402 g/cm³
- E_form: 694 meV/atom
- Crystal system: monoclinic


Entry 16:
A relaxed Ga3BP crystal, computed with PBE.

a b c (Å): 4.3060 4.3060 4.3060
angles (deg): 90.00 90.00 90.00
Last column: nearest neighbours and their distance in Å.
Space group Pm-3m (No. 221)
Asymmetric unit:
Ga1 0.0000 0.0000 0.5000 x3  2 B 2.15
B1 0.0000 0.0000 0.0000 x1  6 Ga 2.15
P1 0.5000 0.5000 0.5000 x1  12 Ga 3.04

## Properties
- Mass density: 5.219 g/cm³
- Distance to the lowest polymorph of the same formula: 0.0000 eV/atom
- E_form: 380 meV/atom
- Crystal system: cubic


Entry 17:
A relaxed ReHgBr2 crystal, computed with PBE.

a b c (Å): 3.1173 5.0333 13.9618
angles (deg): 90.00 90.00 90.00
Last column: nearest neighbours and their distance in Å.
Space group Immm (No. 71)
Asymmetric unit:
Re1 0.0000 0.0000 0.0000 x2  4 Br 2.59
Hg1 0.0000 0.0000 0.5000 x2  4 Re 2.96, 2 Hg 3.12, 4 Br 3.26
Br1 0.0000 0.5000 0.3520 x4  2 Re 2.59

## Properties
- Mass density: 8.287 g/cm³
- Distance to the lowest polymorph of the same formula: 0.0869 eV/atom
- Crystal system: orthorhombic


Entry 18:
A relaxed AcAlCu crystal, computed with PBE.

a b c (Å): 6.8307 6.8307 6.8307
angles (deg): 90.00 90.00 90.00
Last column: nearest neighbours and their distance in Å.
Space group F-43m (No. 216)
Asymmetric unit:
Ac1 0.0000 0.0000 0.0000 x4  4 Cu 2.96
Al1 0.0000 0.0000 0.5000 x4  4 Cu 2.96
Cu1 0.2500 0.2500 0.2500 x4  4 Ac 2.96, 4 Al 2.96

## Properties
- Mass density: 6.618 g/cm³
- Distance to the lowest polymorph of the same formula: 0.1952 eV/atom
- E_form: -99 meV/atom
- Crystal system: cubic


Entry 19:
A relaxed LiTl2HBr4 crystal, computed with PBE.

a b c (Å): 8.2248 3.6963 8.7742
angles (deg): 90.00 117.46 90.00
Last column: nearest neighbours and their distance in Å.
Space group P2/m (No. 10)
Asymmetric unit:
Li1 0.0000 0.0000 0.0000 x1  4 Br 2.58
Tl1 0.5000 0.0000 0.5000 x1  6 Br 3.26-3.48
Tl2 0.5000 0.5000 0.0000 x1  6 Br 3.23-3.38
H1 0.0000 0.5000 0.5000 x1  4 Br 2.45
Br1 0.1932 0.0000 0.6712 x2  2 H 2.45
Br2 0.2293 0.5000 0.1748 x2  2 Li 2.58

## Properties
- Mass density: 5.166 g/cm³
- Electronic total energy: -2.6221 eV per atom
- Crystal system: monoclinic


Entry 20:
A relaxed ScTi6Sn4 crystal, computed with PBE.

a b c (Å): 7.0063 7.0063 10.4306
angles (deg): 90.00 90.00 90.00
Last column: nearest neighbours and their distance in Å.
Space group I-42m (No. 121)
Asymmetric unit:
Sc1 0.0000 0.0000 0.0000 x2  4 Sn 2.95
Ti1 0.0000 0.5000 0.0000 x4  4 Ti 2.89, 4 Sn 2.91
Ti2 0.1473 0.1473 0.6042 x8  4 Sn 2.79-2.87, 5 Ti 2.89-3.00
Sn1 0.2450 0.2450 0.3534 x8  6 Ti 2.79-2.91, 1 Sc 2.95

## Properties
- Mass density: 5.234 g/cm³
- E_form: 84 meV/atom
- Crystal system: tetragonal


Entry 21:
A relaxed Mn2Cr5Re5 crystal, computed with PBE.

a b c (Å): 6.9032 6.9032 7.4871
angles (deg): 90.00 90.00 90.00
Last column: nearest neighbours and their distance in Å.
Space group I4mm (No. 107)
Asymmetric unit:
Mn1 0.0000 0.5000 0.0000 x4  4 Cr 2.31-2.43, 4 Re 2.50
Cr1 0.0000 0.0000 0.2251 x2  5 Re 2.43-2.54
Cr2 0.0000 0.2892 0.7404 x8  2 Mn 2.31-2.43, 1 Re 2.39
Re1 0.0000 0.0000 0.5645 x2  5 Cr 2.39-2.54
Re2 0.1954 0.1954 0.0233 x8  5 Cr 2.43-2.66, 2 Mn 2.50, 2 Re 2.70

## Properties
- Mass density: 12.109 g/cm³
- E_form: 662 meV/atom
- Crystal system: tetragonal


Entry 22:
A relaxed Sr3PrF8 crystal, computed with PBE.

a b c (Å): 5.8651 5.8651 5.8651
angles (deg): 90.00 90.00 90.00
Last column: nearest neighbours and their distance in Å.
Space group Pm-3m (No. 221)
Asymmetric unit:
Sr1 0.0000 0.0000 0.5000 x3  8 F 2.54
Pr1 0.5000 0.5000 0.5000 x1  8 F 2.53
F1 0.2506 0.2506 0.2506 x8  1 Pr 2.53, 3 Sr 2.54

## Properties
- Mass density: 4.574 g/cm³
- Electronic total energy: -5.8418 eV per atom
- Crystal system: cubic


Entry 23:
A relaxed YTlMo2 crystal, computed with PBE.

a b c (Å): 3.3053 3.3053 7.6473
angles (deg): 90.00 90.00 90.00
Last column: nearest neighbours and their distance in Å.
Space group P4mm (No. 99)
Asymmetric unit:
Y1 0.0000 0.0000 0.0000 x1  5 Mo 3.08-3.29, 4 Y 3.31, 4 Tl 3.35
Tl1 0.5000 0.5000 0.6860 x1  5 Mo 3.05-3.24, 4 Tl 3.31, 4 Y 3.35
Mo1 0.0000 0.0000 0.4305 x1  4 Mo 2.67
Mo2 0.5000 0.5000 0.2620 x1  4 Mo 2.67

## Properties
- Mass density: 9.643 g/cm³
- Distance to the lowest polymorph of the same formula: 0.0000 eV/atom
- E_form: 149 meV/atom
- Crystal system: tetragonal


Entry 24:
A relaxed GdAs2Pt crystal, computed with PBE.

a b c (Å): 3.8940 3.8940 24.1770
angles (deg): 90.00 90.00 120.00
Last column: nearest neighbours and their distance in Å.
Space group R-3m (No. 166, hexagonal axes)
Asymmetric unit:
Gd1 0.0000 0.0000 0.0000 x3  2 As 2.87
As1 0.0000 0.0000 0.1187 x6  3 Pt 2.53
Pt1 0.0000 0.0000 0.5000 x3  6 As 2.53

## Properties
- Mass density: 7.880 g/cm³
- E_form: -205 meV/atom
- Crystal system: trigonal